Entry 1:
{
  "formula": "CeVO4",
  "functional": "GGA+U",
  "state": "relaxed",
  "density_g_cm3": 4.83,
  "magnetic_moment_mub_per_fu": 1.004,
  "sg": "I4_1/amd (141)",
  "dos_at_fermi_per_ev_atom": 0.907,
  "e_tot_ev_per_cell": -98.7,
  "cell": [[-4.879, 2.554, -2.686], [2.115, -5.102, -2.654], [-1.754, -1.579, 5.655]],
  "species": ["Ce", "Ce", "V", "V", "O", "O", "O", "O", "O", "O", "O", "O"],
  "fractional_positions": [[0.250, 0.750, 0.500], [0.000, 0.000, 0.000], [0.500, 0.500, 0.000], [0.750, 0.250, 0.500], [0.323, 0.505, 0.182], [0.323, 0.141, 0.818], [0.495, 0.677, 0.818], [0.927, 0.609, 0.682], [0.927, 0.245, 0.318], [0.859, 0.677, 0.182], [0.391, 0.073, 0.318], [0.755, 0.073, 0.682]]
}

Entry 2:
{
  "formula": "CeVO4",
  "functional": "GGA+U",
  "state": "relaxed",
  "density_g_cm3": 5.12,
  "magnetic_moment_mub_per_fu": 1.006,
  "sg": "P2_1/c (14)",
  "dos_at_fermi_per_ev_atom": 0.963,
  "e_tot_ev_per_cell": -195.6,
  "cell": [[-2.857, -4.496, 4.922], [4.010, -4.949, -2.193], [7.631, -1.690, 2.886]],
  "species": ["Ce", "Ce", "Ce", "Ce", "V", "V", "V", "V", "O", "O", "O", "O", "O", "O", "O", "O", "O", "O", "O", "O", "O", "O", "O", "O"],
  "fractional_positions": [[0.652, 0.817, 0.780], [0.848, 0.817, 0.280], [0.348, 0.183, 0.220], [0.152, 0.183, 0.720], [0.664, 0.315, 0.799], [0.836, 0.315, 0.299], [0.336, 0.685, 0.201], [0.164, 0.685, 0.701], [0.494, 0.169, 0.751], [0.006, 0.169, 0.251], [0.506, 0.831, 0.249], [0.994, 0.831, 0.749], [0.850, 0.116, 0.889], [0.650, 0.116, 0.389], [0.150, 0.884, 0.111], [0.350, 0.884, 0.611], [0.605, 0.352, 0.982], [0.895, 0.352, 0.482], [0.395, 0.648, 0.018], [0.105, 0.648, 0.518], [0.718, 0.619, 0.612], [0.782, 0.619, 0.112], [0.282, 0.381, 0.388], [0.218, 0.381, 0.888]]
}

Copy entry 2 word for word.
{
  "formula": "CeVO4",
  "functional": "GGA+U",
  "state": "relaxed",
  "density_g_cm3": 5.12,
  "magnetic_moment_mub_per_fu": 1.006,
  "sg": "P2_1/c (14)",
  "dos_at_fermi_per_ev_atom": 0.963,
  "e_tot_ev_per_cell": -195.6,
  "cell": [[-2.857, -4.496, 4.922], [4.010, -4.949, -2.193], [7.631, -1.690, 2.886]],
  "species": ["Ce", "Ce", "Ce", "Ce", "V", "V", "V", "V", "O", "O", "O", "O", "O", "O", "O", "O", "O", "O", "O", "O", "O", "O", "O", "O"],
  "fractional_positions": [[0.652, 0.817, 0.780], [0.848, 0.817, 0.280], [0.348, 0.183, 0.220], [0.152, 0.183, 0.720], [0.664, 0.315, 0.799], [0.836, 0.315, 0.299], [0.336, 0.685, 0.201], [0.164, 0.685, 0.701], [0.494, 0.169, 0.751], [0.006, 0.169, 0.251], [0.506, 0.831, 0.249], [0.994, 0.831, 0.749], [0.850, 0.116, 0.889], [0.650, 0.116, 0.389], [0.150, 0.884, 0.111], [0.350, 0.884, 0.611], [0.605, 0.352, 0.982], [0.895, 0.352, 0.482], [0.395, 0.648, 0.018], [0.105, 0.648, 0.518], [0.718, 0.619, 0.612], [0.782, 0.619, 0.112], [0.282, 0.381, 0.388], [0.218, 0.381, 0.888]]
}